(1)
# PBE CrSi6Mo2, optimized geometry
# Crystal system: orthorhombic
# M_tot (μB/f.u.): 0.00
# Calculated total energy (eV per atom): -7.51
# E_form (uncorrected) (meV/atom): -422
data_CrSi6Mo2
_cell_length_a 4.538
_cell_length_b 7.931
_cell_length_c 6.529
_cell_angle_alpha 90.00
_cell_angle_beta 90.00
_cell_angle_gamma 90.00
_symmetry_space_group_name_H-M 'C 2 2 2'
_symmetry_Int_Tables_number 21
loop_
_symmetry_equiv_pos_as_xyz
'x,y,z'
'-x,-y,z'
'x,-y,-z'
'-x,y,-z'
'x+1/2,y+1/2,z'
'-x+1/2,-y+1/2,z'
'x+1/2,-y+1/2,-z'
'-x+1/2,y+1/2,-z'
loop_
_atom_site_label
_atom_site_type_symbol
_atom_site_fract_x
_atom_site_fract_y
_atom_site_fract_z
Cr1 Cr 0.000 0.000 0.000
Si1 Si 0.000 0.338 0.000
Si2 Si 0.250 0.081 0.328
Mo1 Mo 0.250 0.250 0.669



(2)
# PBE Sn4HgBr8, optimized geometry
# Crystal system: cubic
# M_tot (μB/f.u.): 0.00
# Distance to the lowest polymorph of the same formula (meV/atom): 57
# Calculated total energy (eV per atom): -2.92
# E_form (uncorrected) (meV/atom): -636
data_Sn4HgBr8
_cell_length_a 12.987
_cell_length_b 12.987
_cell_length_c 12.987
_cell_angle_alpha 90.00
_cell_angle_beta 90.00
_cell_angle_gamma 90.00
_symmetry_space_group_name_H-M 'F -4 3 m'
_symmetry_Int_Tables_number 216
_symmetry_space_group_name_Hall 'F -4 2 3'
loop_
_atom_site_label
_atom_site_type_symbol
_atom_site_fract_x
_atom_site_fract_y
_atom_site_fract_z
Sn1 Sn 0.124 0.124 0.124
Hg1 Hg 0.000 0.000 0.500
Br1 Br 0.112 0.112 0.888
Br2 Br 0.144 0.144 0.356